1.
Sr3Fe2S2O5 | GGA+U | relaxed

Lattice parameters (Å, degrees): 4.0225 4.0225 22.8599 90.00 90.00 90.00
Last column: nearest neighbours and their distance in Å.
Space group I4/mmm (No. 139)
Symmetry-distinct sites (fractional):
Sr (0.0000, 0.0000, 0.0000)  12 O 2.83-2.84
Sr (0.0000, 0.0000, 0.1632)  4 O 2.65, 4 S 2.95
Fe (0.0000, 0.0000, 0.4155)  5 O 1.93-2.01
S (0.0000, 0.0000, 0.3034)  1 Fe 2.56
O (0.0000, 0.0000, 0.5000)  2 Fe 1.93
O (0.0000, 0.5000, 0.0874)  2 Fe 2.01

---

2.
FeSb3O | GGA+U | relaxed

## Properties
**Energy above the most stable polymorph in this dataset**: 0.576 eV per atom

Lattice parameters (Å, degrees): 4.9899 4.9899 4.9899 90.00 90.00 90.00
Last column: nearest neighbours and their distance in Å.
Space group Pm-3m (No. 221)
Symmetry-distinct sites (fractional):
Fe (0.0000, 0.0000, 0.0000)  6 Sb 2.49
Sb (0.0000, 0.0000, 0.5000)  2 Fe 2.49
O (0.5000, 0.5000, 0.5000)  12 Sb 3.53

---

3.
Fe2SbO | GGA+U | relaxed

## Properties
**Energy above the most stable polymorph in this dataset**: 0.000 eV per atom

Lattice parameters (Å, degrees): 5.1094 5.1094 11.4352 90.00 90.00 90.00
Last column: nearest neighbours and their distance in Å.
Space group I-42d (No. 122)
Symmetry-distinct sites (fractional):
Fe (0.1026, 0.2500, 0.1250)  2 O 1.99
Sb (0.0000, 0.0000, 0.5000)  4 Fe 2.79
O (0.0000, 0.0000, 0.0000)  4 Fe 1.99

---

4.
FeSbO2 | GGA+U | relaxed

Lattice parameters (Å, degrees): 3.5211 3.5211 18.0683 90.00 90.00 120.00
Last column: nearest neighbours and their distance in Å.
Space group R-3m (No. 166, hexagonal axes)
Symmetry-distinct sites (fractional):
Fe (0.0000, 0.0000, 0.0000)  2 O 1.89
Sb (0.0000, 0.0000, 0.5000)  6 O 2.32
O (0.0000, 0.0000, 0.1046)  1 Fe 1.89

---

5.
FeSb2O4 | GGA+U | relaxed

## Properties
**Energy above the most stable polymorph in this dataset**: 0.000 eV per atom

Lattice parameters (Å, degrees): 8.7761 8.7761 6.0630 90.00 90.00 90.00
Last column: nearest neighbours and their distance in Å.
Space group P4_2/mbc (No. 135)
Symmetry-distinct sites (fractional):
Fe (0.0000, 0.5000, 0.2500)  6 O 2.13-2.23
Sb (0.1673, 0.1775, 0.0000)  3 O 1.96-2.03
O (0.1004, 0.3616, 0.5000)  1 Sb 1.96, 2 Fe 2.13
O (0.1794, 0.6794, 0.2500)  2 Sb 2.03, 1 Fe 2.23

---

6.
FeSbO2 | GGA+U | relaxed

Lattice parameters (Å, degrees): 5.2917 5.2917 9.1710 90.00 90.00 90.00
Last column: nearest neighbours and their distance in Å.
Space group I-42d (No. 122)
Symmetry-distinct sites (fractional):
Fe (0.0000, 0.0000, 0.0000)  4 O 1.92
Sb (0.0000, 0.0000, 0.5000)  4 O 2.55
O (0.1496, 0.2500, 0.1250)  2 Fe 1.92

---

7.
FeSbO2 | GGA+U | relaxed

Lattice parameters (Å, degrees): 3.1454 3.1454 19.2707 90.00 90.00 120.00
Last column: nearest neighbours and their distance in Å.
Space group R-3m (No. 166, hexagonal axes)
Symmetry-distinct sites (fractional):
Fe (0.0000, 0.0000, 0.0000)  6 O 2.09
Sb (0.0000, 0.0000, 0.5000)  2 O 2.18
O (0.0000, 0.0000, 0.3870)  3 Fe 2.09, 1 Sb 2.18

---

8.
FeSb2O4 | GGA+U | relaxed

## Properties
**Energy above the most stable polymorph in this dataset**: 0.100 eV per atom

Lattice parameters (Å, degrees): 8.6018 8.6018 6.5298 90.00 90.00 90.00
Last column: nearest neighbours and their distance in Å.
Space group P4_2/m (No. 84)
Symmetry-distinct sites (fractional):
Fe (0.0000, 0.5000, 0.2428)  4 O 2.07-2.18
Sb (0.0667, 0.1866, 0.5000)  1 O 1.95
Sb (0.2947, 0.6835, 0.5000)  3 O 1.94-2.05
O (0.1172, 0.4001, 0.0000)  1 Sb 1.94, 2 Fe 2.07
O (0.1243, 0.7417, 0.2950)  2 Sb 2.05-2.21
O (0.1313, 0.4042, 0.5000)  1 Sb 1.95, 2 Fe 2.18

---

9.
Fe3SbO7 | GGA+U | relaxed

Lattice parameters (Å, degrees): 8.4407 8.4407 7.1850 90.00 90.00 120.00
Last column: nearest neighbours and their distance in Å.
Space group R3m (No. 160, hexagonal axes)
Symmetry-distinct sites (fractional):
Fe (0.0831, 0.5416, 0.0000)  5 O 1.90-2.11
Sb (0.0000, 0.0000, 0.9172)  4 O 1.87-1.93
O (0.0000, 0.0000, 0.1862)  1 Sb 1.93, 3 Fe 2.11
O (0.2048, 0.4096, 0.1085)  3 Fe 1.99-2.01
O (0.2073, 0.4145, 0.5386)  1 Sb 1.87, 1 Fe 1.90

---

10.
Fe3SbO6 | GGA+U | relaxed

Lattice parameters (Å, degrees): 5.3494 5.3536 9.3421 90.00 124.69 90.00
Last column: nearest neighbours and their distance in Å.
Space group P2_1/c (No. 14)
Symmetry-distinct sites (fractional):
Fe (0.0000, 0.0000, 0.0000)  6 O 2.00-2.08
Fe (0.2451, 0.0375, 0.7385)  4 O 2.09-2.17
Sb (0.5000, 0.0000, 0.5000)  6 O 2.01-2.02
O (0.1252, 0.1776, 0.4490)  2 Fe 2.00-2.09, 1 Sb 2.02
O (0.2557, 0.6834, 0.4288)  1 Sb 2.01, 2 Fe 2.08-2.11
O (0.3694, 0.0721, 0.2538)  1 Sb 2.02, 3 Fe 2.08-2.17

---

11.
Fe2SbO | GGA+U | relaxed

## Properties
**Energy above the most stable polymorph in this dataset**: 0.744 eV per atom

Lattice parameters (Å, degrees): 6.2718 6.2718 6.2718 90.00 90.00 90.00
Last column: nearest neighbours and their distance in Å.
Space group Fm-3m (No. 225)
Symmetry-distinct sites (fractional):
Fe (0.2500, 0.2500, 0.2500)  4 O 2.72, 4 Sb 2.72
Sb (0.0000, 0.0000, 0.0000)  8 Fe 2.72
O (0.0000, 0.0000, 0.5000)  8 Fe 2.72

---

12.
FeSb3O | GGA+U | relaxed

## Properties
**Energy above the most stable polymorph in this dataset**: 0.000 eV per atom

Lattice parameters (Å, degrees): 4.7495 4.7495 4.7495 90.00 90.00 90.00
Last column: nearest neighbours and their distance in Å.
Space group Pm-3m (No. 221)
Symmetry-distinct sites (fractional):
Fe (0.0000, 0.0000, 0.0000)  12 Sb 3.36
Sb (0.0000, 0.5000, 0.5000)  2 O 2.37
O (0.5000, 0.5000, 0.5000)  6 Sb 2.37

---

no.,total DFT energy (no corrections) (eV per atom)
1,-5.914
2,-3.650
3,-5.219
4,-5.447
5,-6.195
6,-5.624
7,-6.000
8,-6.095
9,-6.349
10,-6.497
11,-4.476
12,-4.225